# Be2AlNi | Alexandria | PBE-GGA | optimized geometry
data_Be2AlNi
_chemical_formula_sum 'Be4 Al2 Ni2'
_symmetry_space_group_name_H-M 'C 1 2/m 1'
_symmetry_Int_Tables_number 12
_cell_length_a 8.2984
_cell_length_b 2.9761
_cell_length_c 3.7466
_cell_angle_alpha 90.00
_cell_angle_beta 116.63
_cell_angle_gamma 90.00
loop_
_symmetry_equiv_pos_as_xyz
'x,y,z'
'-x,-y,-z'
'-x,y,-z'
'x,-y,z'
'x+1/2,y+1/2,z'
'-x+1/2,-y+1/2,-z'
'-x+1/2,y+1/2,-z'
'x+1/2,-y+1/2,z'
loop_
_atom_site_label
_atom_site_fract_x
_atom_site_fract_y
_atom_site_fract_z
_atom_site_occupancy
Be1 0.2371 0.0000 0.2361 1
Al1 0.0000 0.0000 0.5000 1
Ni1 0.0000 0.5000 0.0000 1
# V ... 83 Å³ per cell
# Total energy ... -4.5042 eV per atom